A relaxed Cr2TeO6 crystal. Source: the Alexandria database, functional GGA+U.

Cell and atoms, written as POSCAR:
```
Cr2TeO6
1.0
4.625 0.000 0.000
0.000 4.625 0.000
0.000 0.000 9.214
Cr O Te
4 12 2
Direct
0.500 0.500 0.834 Cr
0.000 0.000 0.334 Cr
0.000 0.000 0.666 Cr
0.500 0.500 0.166 Cr
0.692 0.692 0.663 O
0.192 0.808 0.163 O
0.692 0.692 0.337 O
0.808 0.192 0.163 O
0.199 0.801 0.500 O
0.699 0.699 0.000 O
0.308 0.308 0.663 O
0.801 0.199 0.500 O
0.308 0.308 0.337 O
0.301 0.301 0.000 O
0.808 0.192 0.837 O
0.192 0.808 0.837 O
0.500 0.500 0.500 Te
0.000 0.000 0.000 Te
```

Summary:
VASP energy = -6.88 eV/atom
SG = P4_2/mnm